Density functional theory data (PBE) for a relaxed structure of Pt5RhSe12.

Energy relative to the elements, uncorrected (eV per formula unit): -7.1
Symmetry: C2/m (12)
Fermi-level density of states (states/eV/f.u.): 4.1

a b c (Å): 6.5251 6.5318 11.0547
angles (deg): 84.29 78.51 60.03
Closest atoms and distances in Å follow each position.
Atoms (fractional coordinates):
Pt 0.5000 0.0000 0.5000  6 Se 2.53-2.54
Pt 0.1667 0.6666 0.5000  6 Se 2.54
Pt 0.8333 0.3334 0.5000  6 Se 2.54
Pt 0.6667 0.6667 0.0000  6 Se 2.53
Pt 0.3333 0.3333 0.0000  6 Se 2.53
Rh 0.0000 0.0000 0.0000  6 Se 2.51
Se 0.8739 0.0000 0.3801  3 Pt 2.53-2.54
Se 0.1261 0.0000 0.6199  3 Pt 2.53-2.54
Se 0.7091 0.0000 0.8815  1 Rh 2.51, 2 Pt 2.53
Se 0.2909 0.0000 0.1185  1 Rh 2.51, 2 Pt 2.53
Se 0.3705 0.6692 0.8815  1 Rh 2.51, 2 Pt 2.53
Se 0.9602 0.6692 0.1185  1 Rh 2.51, 2 Pt 2.53
Se 0.0398 0.3308 0.8815  1 Rh 2.51, 2 Pt 2.53
Se 0.6295 0.3308 0.1185  1 Rh 2.51, 2 Pt 2.53
Se 0.4592 0.3334 0.6202  3 Pt 2.54
Se 0.7926 0.6666 0.6202  3 Pt 2.54
Se 0.2074 0.3334 0.3798  3 Pt 2.54
Se 0.5408 0.6666 0.3798  3 Pt 2.54



Density functional theory data (PBE) for a relaxed structure of PtRhSe2.

Energy relative to the elements, uncorrected (eV per formula unit): 0.2
Symmetry: C2/m (12)
Fermi-level density of states (states/eV/f.u.): 2.3

a b c (Å): 5.8287 5.8287 2.7983
angles (deg): 61.11 61.11 76.61
Closest atoms and distances in Å follow each position.
Atoms (fractional coordinates):
Pt 0.5000 0.0000 0.5000  4 Se 2.55, 2 Pt 2.80
Rh 0.0000 0.5000 0.5000  4 Se 2.55, 2 Rh 2.80
Se 0.0000 0.0000 0.0000  2 Rh 2.55, 2 Pt 2.55, 2 Se 2.80
Se 0.5000 0.5000 0.0000  2 Pt 2.55, 2 Rh 2.55, 2 Se 2.80



Density functional theory data (PBE) for a relaxed structure of Pt3RhSe.

Energy relative to the elements, uncorrected (eV per formula unit): 4.5
Symmetry: Pm-3m (221)
Fermi-level density of states (states/eV/f.u.): 7.3
Relative energy among the computed polymorphs (eV/atom): 0.000

a b c (Å): 4.6372 4.6372 4.6372
angles (deg): 90.00 90.00 90.00
Closest atoms and distances in Å follow each position.
Atoms (fractional coordinates):
Rh 0.5000 0.5000 0.5000  12 Pt 3.28
Se 0.0000 0.0000 0.0000  6 Pt 2.32
Pt 0.0000 0.5000 0.0000  2 Se 2.32
Pt 0.0000 0.0000 0.5000  2 Se 2.32
Pt 0.5000 0.0000 0.0000  2 Se 2.32



Density functional theory data (PBE) for a relaxed structure of PtRh2Se.

Energy relative to the elements, uncorrected (eV per formula unit): 0.4
Symmetry: Imm2 (44)
Fermi-level density of states (states/eV/f.u.): 5.1

a b c (Å): 5.4045 5.4045 5.4045
angles (deg): 148.62 130.79 59.54
Closest atoms and distances in Å follow each position.
Atoms (fractional coordinates):
Pt 0.2676 0.7676 0.5000  2 Se 2.68, 6 Rh 2.71-2.91, 2 Pt 2.92
Rh 0.9999 0.9999 0.0000  4 Se 2.68, 2 Pt 2.91, 4 Rh 2.92-2.96
Rh 0.7256 0.2256 0.5000  2 Se 2.52, 4 Pt 2.71
Se 0.5068 0.5068 0.0000  6 Rh 2.52-2.68, 2 Pt 2.68



Density functional theory data (PBE) for a relaxed structure of PtRh2Se.

Energy relative to the elements, uncorrected (eV per formula unit): 1.1
Symmetry: F-43m (216)
Fermi-level density of states (states/eV/f.u.): 7.1

a b c (Å): 4.4489 4.4489 4.4489
angles (deg): 60.00 60.00 60.00
Closest atoms and distances in Å follow each position.
Atoms (fractional coordinates):
Pt 0.5000 0.5000 0.5000  4 Se 2.72, 4 Rh 2.72
Rh 0.0000 0.0000 0.0000  4 Se 2.72, 4 Rh 2.72
Rh 0.7500 0.7500 0.7500  4 Pt 2.72, 4 Rh 2.72
Se 0.2500 0.2500 0.2500  4 Rh 2.72, 4 Pt 2.72



Density functional theory data (PBE) for a relaxed structure of PtRh2Se.

Energy relative to the elements, uncorrected (eV per formula unit): 0.7
Symmetry: I4/mmm (139)
Fermi-level density of states (states/eV/f.u.): 6.2

a b c (Å): 4.6033 4.6033 4.6033
angles (deg): 125.91 125.91 80.04
Closest atoms and distances in Å follow each position.
Atoms (fractional coordinates):
Pt 0.7500 0.2500 0.5000  8 Rh 2.74, 4 Se 2.96
Rh 0.0000 0.0000 0.0000  4 Se 2.74, 4 Pt 2.74, 4 Rh 2.96
Rh 0.5000 0.5000 0.0000  4 Pt 2.74, 4 Se 2.74, 4 Rh 2.96
Se 0.2500 0.7500 0.5000  8 Rh 2.74, 4 Pt 2.96



Density functional theory data (PBE) for a relaxed structure of PtRhSe2.

Energy relative to the elements, uncorrected (eV per formula unit): 0.4
Symmetry: P4/mmm (123)
Fermi-level density of states (states/eV/f.u.): 3.1

a b c (Å): 3.2003 3.1963 6.4423
angles (deg): 90.00 90.00 90.00
Closest atoms and distances in Å follow each position.
Atoms (fractional coordinates):
Pt 0.5000 0.5000 0.2500  8 Se 2.82
Rh 0.5000 0.5000 0.7500  8 Se 2.74
Se 0.0000 0.0000 0.9891  4 Rh 2.74, 4 Pt 2.82
Se 0.0000 0.0000 0.5109  4 Rh 2.74, 4 Pt 2.82



Density functional theory data (PBE) for a relaxed structure of PtRh2Se.

Energy relative to the elements, uncorrected (eV per formula unit): 0.4
Symmetry: P4/mmm (123)
Fermi-level density of states (states/eV/f.u.): 4.5

a b c (Å): 2.8486 4.6555 4.6555
angles (deg): 90.00 90.00 90.00
Closest atoms and distances in Å follow each position.
Atoms (fractional coordinates):
Pt 0.5000 0.0000 0.5000  8 Rh 2.73, 2 Pt 2.85
Rh 0.0000 0.0000 0.0000  4 Se 2.73, 4 Pt 2.73, 2 Rh 2.85
Rh 0.0000 0.5000 0.5000  4 Se 2.73, 4 Pt 2.73, 2 Rh 2.85
Se 0.5000 0.5000 0.0000  8 Rh 2.73, 2 Se 2.85